Entry from the Alexandria database: crystalline SmDy3Ir4 at its relaxed geometry (PBE).

For the magnetic moment, the calculation gives 0.00 Bohr magnetons per cell. The formation energy is -770 meV/atom. As for the symmetry: Pmmm.

Unit cell a=3.5992 b=4.7649 c=9.5311 alpha=90.00 beta=90.00 gamma=90.00
Last column: nearest neighbours and their distance in Å.
Fractional positions:
Sm  0.0000  0.0000  0.0000  8 Ir 2.99-3.02
Dy  0.0000  0.0000  0.5000  8 Ir 2.95-2.99
Dy  0.0000  0.5000  0.2523  8 Ir 2.97-3.00
Dy  0.0000  0.5000  0.7477  8 Ir 2.97-3.00
Ir  0.5000  0.0000  0.2546  6 Dy 2.95-2.99, 2 Sm 3.02
Ir  0.5000  0.0000  0.7454  6 Dy 2.95-2.99, 2 Sm 3.02
Ir  0.5000  0.5000  0.0000  4 Sm 2.99, 4 Dy 3.00
Ir  0.5000  0.5000  0.5000  8 Dy 2.97-2.99